1.
Here is a geometry-optimized HfCu3Hg structure from Alexandria via LeMat-Bulk. Energies are from GGA-PBE.

a = 4.690 Å, b = 4.690 Å, c = 4.690 Å
α = 90.00°, β = 90.00°, γ = 90.00°
Positions (direct):
Hf 0.500 0.500 0.500
Hg 0.000 0.000 0.000
Cu 0.000 0.500 0.000
Cu 0.000 0.000 0.500
Cu 0.500 0.000 0.000

- Offset from the most stable computed form: 0 meV/atom



2.
Here is a geometry-optimized HfCuHg3 structure from Alexandria via LeMat-Bulk. Energies are from GGA-PBE.

a = 5.564 Å, b = 5.564 Å, c = 5.564 Å
α = 90.00°, β = 90.00°, γ = 90.00°
Positions (direct):
Hf 0.000 0.000 0.000
Hg 0.000 0.500 0.000
Hg 0.000 0.000 0.500
Hg 0.500 0.000 0.000
Cu 0.500 0.500 0.500

- Offset from the most stable computed form: 378 meV/atom



3.
Here is a geometry-optimized HfCuHg2 structure from Alexandria via LeMat-Bulk. Energies are from GGA-PBE.

a = 3.130 Å, b = 3.130 Å, c = 10.245 Å
α = 81.21°, β = 81.21°, γ = 60.00°
Positions (direct):
Hf 0.000 0.000 0.000
Hg 0.096 0.096 0.711
Hg 0.904 0.904 0.289
Cu 0.500 0.500 0.500

- Offset from the most stable computed form: 347 meV/atom



Number 1: density of states at the Fermi level 6.26 states/eV/cell, calculated total energy -3.5135 eV/atom, formation enthalpy at 0 K 0.995 eV per atom. Number 2: density of states at the Fermi level 4.84 states/eV/cell, calculated total energy -2.0271 eV/atom, formation enthalpy at 0 K 0.964 eV per atom. Number 3: density of states at the Fermi level 3.35 states/eV/cell, calculated total energy -3.2515 eV/atom, formation enthalpy at 0 K 0.412 eV per atom.